DFT (PBE-GGA) results for a geometry-optimized Pr4Br5N2 structure.

a b c (Å): 10.106 10.106 10.106
angles (deg): 158.28 131.04 54.15
Positions (direct):
Pr (0.167, 0.167, 0.000)
Pr (0.198, 0.500, 0.698)
Pr (0.802, 0.500, 0.302)
Pr (0.833, 0.833, 0.000)
Br (0.121, 0.335, 0.786)
Br (0.451, 0.665, 0.786)
Br (0.500, 0.000, 0.500)
Br (0.549, 0.335, 0.214)
Br (0.879, 0.665, 0.214)
N (0.038, 0.038, 0.000)
N (0.962, 0.962, 0.000)

- Theoretical density: 5.7 g/cm3
- Energy: -5.486 eV per atom
- Raw formation energy: -1.47 eV/atom